Density functional theory data (PBE+U) for crystalline RbPmMnF6 at its relaxed geometry.

The total magnetic moment is 10.0 μB/cell. The total energy comes out at -6.0118 eV per atom. For the volume, the calculation gives 314 Å³/cell.

Cell: 7.623 7.623 7.623 Å, 121.41 118.04 90.50°
Fractional positions:
Rb 0.345 0.095 0.250
Rb 0.655 0.905 0.750
Pm 0.000 0.500 0.500
Pm 0.500 0.500 0.000
Mn 0.000 0.000 0.500
Mn 0.000 0.500 0.000
F 0.066 0.351 0.184
F 0.066 0.882 0.715
F 0.102 0.352 0.750
F 0.333 0.118 0.684
F 0.333 0.649 0.215
F 0.363 0.613 0.750
F 0.637 0.387 0.250
F 0.667 0.351 0.785
F 0.667 0.882 0.316
F 0.898 0.648 0.250
F 0.934 0.118 0.285
F 0.934 0.649 0.816